No. 1
YAg2AsF | PBEsol | relaxed

* volume: 95 Å³/cell
* formation energy (no corrections): -0.70 eV per atom
* symmetry: P4/mmm, No. 123
* total energy: -4.7941 eV per atom

Unit cell a=4.4396 b=4.6197 c=4.6197 alpha=90.00 beta=90.00 gamma=90.00
Atoms (fractional coordinates):
Y1 0.5000 0.0000 0.0000
As1 0.5000 0.5000 0.5000
Ag1 0.0000 0.0000 0.5000
Ag2 0.0000 0.5000 0.0000
F1 0.0000 0.0000 0.0000



No. 2
LiCdAg2 | PBEsol | relaxed

* volume: 68 Å³/cell
* E_form: -0.1601 eV per atom
* symmetry: Cm, No. 8
* total energy: -2.6066 eV per atom

Unit cell a=2.9569 b=4.8867 c=5.0198 alpha=100.46 beta=107.13 gamma=90.00
Atoms (fractional coordinates):
Cd1 0.5034 0.5073 0.0069
Ag1 0.9977 0.0089 0.9955
Ag2 0.2523 0.7487 0.5046
Li1 0.7465 0.2351 0.4930



No. 3
BaCaY | PBEsol | relaxed

* volume: 119 Å³/cell
* relative energy among the computed polymorphs: 0.0000 eV per atom
* E_form: 0.1983 eV per atom
* symmetry: P3m1, No. 156
* total energy: -3.5032 eV per atom

Unit cell a=3.6619 b=6.1353 c=6.1353 alpha=120.00 beta=90.00 gamma=90.00
Atoms (fractional coordinates):
Y1 0.3217 0.3333 0.6667
Ca1 0.6810 0.6667 0.3333
Ba1 0.9971 0.0000 0.0000



No. 4
Mg2Ge | PBEsol | relaxed

* volume: 126 Å³/cell
* E_form: 0.1944 eV per atom
* symmetry: Fd-3m, No. 227
* total energy: -2.5967 eV per atom

Unit cell a=5.6277 b=5.6277 c=5.6277 alpha=60.00 beta=60.00 gamma=60.00
Atoms (fractional coordinates):
Mg1 0.1250 0.6250 0.6250
Mg2 0.6250 0.6250 0.6250
Mg3 0.6250 0.6250 0.1250
Mg4 0.6250 0.1250 0.6250
Ge1 0.0000 0.0000 0.0000
Ge2 0.2500 0.2500 0.2500



> The lowest total energy belongs to which entry?

YAg2AsF



> Which of these has the lowest volume?

LiCdAg2